No. 1
LaY10Tm4 | PBE-GGA | relaxed

Results
- Space group: I4/m (87)
- Energy relative to the elements: 0.562 eV per atom

Unit cell a=6.5720 b=9.6294 c=9.6294 alpha=83.31 beta=70.05 gamma=70.05
Sites, in units of the cell vectors:
Y  0.3770  0.5815  0.1620
Y  0.6230  0.4185  0.8380
Y  0.9585  0.1620  0.4185
Tm  0.3263  0.2405  0.1069
La  0.0000  0.0000  0.0000
Y  0.2500  0.5000  0.5000
Y  0.5390  0.8380  0.5815
Y  0.7500  0.5000  0.5000
Tm  0.4332  0.8931  0.2405
Y  0.4610  0.1620  0.4185
Y  0.0415  0.8380  0.5815
Y  0.1205  0.4185  0.8380
Y  0.8795  0.5815  0.1620
Tm  0.5668  0.1069  0.7595
Tm  0.6737  0.7595  0.8931

No. 2
PmBe17Re | PBE-GGA | relaxed

Results
- Space group: R3m (160)
- Energy relative to the elements: -0.049 eV per atom

Unit cell a=5.6690 b=5.6690 c=5.6690 alpha=83.01 beta=83.01 gamma=83.01
Sites, in units of the cell vectors:
Be  0.4996  0.0019  0.0019
Pm  0.6599  0.6599  0.6599
Be  0.9111  0.9111  0.9111
Be  0.6498  0.6498  0.1650
Be  0.1650  0.6498  0.6498
Be  0.3374  0.3374  0.8510
Be  0.0081  0.2853  0.7064
Re  0.3331  0.3331  0.3331
Be  0.0019  0.4996  0.0019
Be  0.2853  0.7064  0.0081
Be  0.7064  0.0081  0.2853
Be  0.0019  0.0019  0.4996
Be  0.0081  0.7064  0.2853
Be  0.6498  0.1650  0.6498
Be  0.7064  0.2853  0.0081
Be  0.1027  0.1027  0.1027
Be  0.2853  0.0081  0.7064
Be  0.8510  0.3374  0.3374
Be  0.3374  0.8510  0.3374

No. 3
ZnGaAsO6 | PBE-GGA | relaxed

Results
- Space group: P-31c (163)
- Formation energy from raw total energies: -1063 meV/atom

Unit cell a=5.0555 b=5.0555 c=8.6439 alpha=90.00 beta=90.00 gamma=120.00
Each line ends with the local moment (μB).
Sites, in units of the cell vectors:
O  0.3421  0.3633  0.3673  0.29
Zn  0.0000  0.0000  0.5000  0.03
O  0.0212  0.6579  0.3673  0.29
O  0.3421  0.9788  0.1327  0.29
As  0.6667  0.3333  0.7500  -0.03
O  0.6367  0.9788  0.3673  0.29
O  0.3633  0.0212  0.6327  0.29
O  0.3633  0.3421  0.8673  0.29
Ga  0.3333  0.6667  0.7500  -0.02
O  0.6579  0.6367  0.6327  0.29
As  0.3333  0.6667  0.2500  -0.03
O  0.6579  0.0212  0.8673  0.29
O  0.0212  0.3633  0.1327  0.29
Ga  0.6667  0.3333  0.2500  -0.02
Zn  0.0000  0.0000  0.0000  0.03
O  0.6367  0.6579  0.1327  0.29
O  0.9788  0.6367  0.8673  0.29
O  0.9788  0.3421  0.6327  0.29

Respective calculated total energy values: -5.2684, -4.2885, -5.3627 eV per atom.